Model one:
Compound: BaBe2Cr
Source: Alexandria via LeMat-Bulk
Functional: meta-GGA SCAN
Structure: single point on PBEsol structure

```
BaBe2Cr
1.0
3.0481 0.0000 0.0000
0.0000 4.9135 0.0000
0.0000 0.0000 4.9135
Be Ba Cr
2 1 1
Cartesian
0.0000 2.4568 0.0000
0.0000 0.0000 2.4568
1.5240 0.0000 0.0000
1.5240 2.4568 2.4568
```

Model two:
Compound: BaBe2Cr
Source: Alexandria via LeMat-Bulk
Functional: meta-GGA SCAN
Structure: single point on PBEsol structure

```
BaBe2Cr
1.0
-2.4099 -1.8522 -0.2874
1.7603 -2.0757 -1.3834
1.5797 -3.0859 6.6402
Be Cr Ba
2 1 1
Cartesian
0.1537 -0.3001 0.6459
0.0522 -2.7005 0.7495
0.6379 -1.2462 2.6815
0.8761 -4.3098 4.2126
```

Pick the most stable structure from those above. Pick: model two